An optimized crystal structure of LaTa2Ni. Source: Alexandria, functional PBE-GGA.

Cell and atoms, written as CIF:
```
data_LaTa2Ni
_symmetry_space_group_name_H-M 'P m m m'
_symmetry_Int_Tables_number 47
_cell_length_a 3.247
_cell_length_b 4.685
_cell_length_c 5.170
_cell_angle_alpha 90.00
_cell_angle_beta 90.00
_cell_angle_gamma 90.00
loop_
_symmetry_equiv_pos_as_xyz
'x,y,z'
'-x,-y,-z'
'-x,-y,z'
'x,y,-z'
'x,-y,-z'
'-x,y,z'
'-x,y,-z'
'x,-y,z'
loop_
_atom_site_label
_atom_site_type_symbol
_atom_site_fract_x
_atom_site_fract_y
_atom_site_fract_z
La1 La 0.000 0.000 0.000
Ta1 Ta 0.000 0.500 0.500
Ta2 Ta 0.500 0.000 0.500
Ni1 Ni 0.500 0.500 0.000
```

E_form   0.395 eV per atom
Energy   -32.83 eV for the cell shown


An optimized crystal structure of LaTaNi2. Source: Alexandria, functional PBE-GGA.

Cell and atoms, written as CIF:
```
data_LaTaNi2
_symmetry_space_group_name_H-M 'P 4/m m m'
_symmetry_Int_Tables_number 123
_symmetry_space_group_name_Hall '-P 4 2'
_cell_length_a 3.194
_cell_length_b 3.194
_cell_length_c 7.097
_cell_angle_alpha 90.00
_cell_angle_beta 90.00
_cell_angle_gamma 90.00
loop_
_atom_site_label
_atom_site_type_symbol
_atom_site_fract_x
_atom_site_fract_y
_atom_site_fract_z
La1 La 0.000 0.000 0.000
Ta1 Ta 0.000 0.000 0.500
Ni1 Ni 0.500 0.500 0.319
```

E_form   -0.170 eV per atom
Energy   -29.02 eV for the cell shown


An optimized crystal structure of LaTa2Ni. Source: Alexandria, functional PBE-GGA.

Cell and atoms, written as CIF:
```
data_LaTa2Ni
_symmetry_space_group_name_H-M 'F -4 3 m'
_symmetry_Int_Tables_number 216
_symmetry_space_group_name_Hall 'F -4 2 3'
_cell_length_a 6.758
_cell_length_b 6.758
_cell_length_c 6.758
_cell_angle_alpha 90.00
_cell_angle_beta 90.00
_cell_angle_gamma 90.00
loop_
_atom_site_label
_atom_site_type_symbol
_atom_site_fract_x
_atom_site_fract_y
_atom_site_fract_z
La1 La 0.000 0.000 0.000
Ta1 Ta 0.000 0.000 0.500
Ta2 Ta 0.250 0.250 0.250
Ni1 Ni 0.250 0.250 0.750
```

E_form   0.356 eV per atom
Energy   -131.97 eV for the cell shown


An optimized crystal structure of LaTa2Ni2. Source: Alexandria, functional PBE-GGA.

Cell and atoms, written as CIF:
```
data_LaTa2Ni2
_symmetry_space_group_name_H-M 'P 4/m b m'
_symmetry_Int_Tables_number 127
_symmetry_space_group_name_Hall '-P 4 2ab'
_cell_length_a 7.637
_cell_length_b 7.637
_cell_length_c 3.054
_cell_angle_alpha 90.00
_cell_angle_beta 90.00
_cell_angle_gamma 90.00
loop_
_atom_site_label
_atom_site_type_symbol
_atom_site_fract_x
_atom_site_fract_y
_atom_site_fract_z
La1 La 0.000 0.000 0.000
Ta1 Ta 0.160 0.340 0.500
Ni1 Ni 0.118 0.618 0.000
```

E_form   0.190 eV per atom
Energy   -78.49 eV for the cell shown


| no. | offset from the most stable computed form (meV/atom) |
| --- | --- |
| 1 | 274 |
| 2 | 0 |
| 3 | 235 |
| 4 | 204 |